A geometry-optimized CaGdAl2 structure. Source: Alexandria, functional PBE-GGA.

The structure in CIF format:
```
data_CaGdAl2
_cell_length_a 3.6182
_cell_length_b 3.6182
_cell_length_c 7.5550
_cell_angle_alpha 90.00
_cell_angle_beta 90.00
_cell_angle_gamma 90.00
_symmetry_space_group_name_H-M 'P 4/m m m'
_symmetry_Int_Tables_number 123
_symmetry_space_group_name_Hall '-P 4 2'
loop_
_atom_site_label
_atom_site_type_symbol
_atom_site_fract_x
_atom_site_fract_y
_atom_site_fract_z
Ca1 Ca 0.0000 0.0000 0.0000
Gd1 Gd 0.0000 0.0000 0.5000
Al1 Al 0.5000 0.5000 0.2529
```

DOS(E_F) = 1.9 states/eV/f.u.
formation energy = -0.29 eV/atom
energy above the most stable polymorph in this dataset = 0.0000 eV/atom
uncorrected energy = -6.1857 eV per atom
volume = 24.7 Å³/atom

***

A geometry-optimized CaGdAlHg structure. Source: Alexandria, functional PBE-GGA.

The structure in CIF format:
```
data_CaGdAlHg
_cell_length_a 7.4624
_cell_length_b 7.4624
_cell_length_c 7.4624
_cell_angle_alpha 90.00
_cell_angle_beta 90.00
_cell_angle_gamma 90.00
_symmetry_space_group_name_H-M 'F -4 3 m'
_symmetry_Int_Tables_number 216
_symmetry_space_group_name_Hall 'F -4 2 3'
loop_
_atom_site_label
_atom_site_type_symbol
_atom_site_fract_x
_atom_site_fract_y
_atom_site_fract_z
Ca1 Ca 0.0000 0.0000 0.0000
Gd1 Gd 0.0000 0.0000 0.5000
Al1 Al 0.2500 0.2500 0.2500
Hg1 Hg 0.2500 0.2500 0.7500
```

DOS(E_F) = 2.9 states/eV/f.u.
formation energy = -0.40 eV/atom
uncorrected energy = -5.4318 eV per atom
volume = 26.0 Å³/atom

***

A geometry-optimized CaGdHoAl structure. Source: Alexandria, functional PBE-GGA.

The structure in CIF format:
```
data_CaGdHoAl
_cell_length_a 7.6205
_cell_length_b 7.6205
_cell_length_c 7.6205
_cell_angle_alpha 90.00
_cell_angle_beta 90.00
_cell_angle_gamma 90.00
_symmetry_space_group_name_H-M 'F -4 3 m'
_symmetry_Int_Tables_number 216
_symmetry_space_group_name_Hall 'F -4 2 3'
loop_
_atom_site_label
_atom_site_type_symbol
_atom_site_fract_x
_atom_site_fract_y
_atom_site_fract_z
Ca1 Ca 0.0000 0.0000 0.0000
Gd1 Gd 0.2500 0.2500 0.7500
Ho1 Ho 0.2500 0.2500 0.2500
Al1 Al 0.0000 0.0000 0.5000
```

DOS(E_F) = 4.0 states/eV/f.u.
formation energy = -0.05 eV/atom
uncorrected energy = -6.1530 eV per atom
volume = 27.7 Å³/atom

***

A geometry-optimized CaLaGdAl structure. Source: Alexandria, functional PBE-GGA.

The structure in CIF format:
```
data_CaLaGdAl
_cell_length_a 7.8012
_cell_length_b 7.8012
_cell_length_c 7.8012
_cell_angle_alpha 90.00
_cell_angle_beta 90.00
_cell_angle_gamma 90.00
_symmetry_space_group_name_H-M 'F -4 3 m'
_symmetry_Int_Tables_number 216
_symmetry_space_group_name_Hall 'F -4 2 3'
loop_
_atom_site_label
_atom_site_type_symbol
_atom_site_fract_x
_atom_site_fract_y
_atom_site_fract_z
Ca1 Ca 0.0000 0.0000 0.0000
La1 La 0.2500 0.2500 0.2500
Gd1 Gd 0.2500 0.2500 0.7500
Al1 Al 0.0000 0.0000 0.5000
```

DOS(E_F) = 4.7 states/eV/f.u.
formation energy = -0.08 eV/atom
uncorrected energy = -6.2649 eV per atom
volume = 29.7 Å³/atom